A plane-wave DFT calculation with PBE was carried out for a relaxed RbNbTe crystal.

Lattice parameters (Å, degrees): 6.147 3.920 9.567 90.00 90.00 90.00
Space group Amm2 (No. 38)
Asymmetric unit:
Rb (0.000, 0.000, 0.000)
Nb (0.500, 0.000, 0.315)
Te (0.500, 0.000, 0.610)

Values from the calculation:
* E: -4.42 eV/atom
* crystal system: orthorhombic
* energy above the most stable polymorph in this dataset: 0.7215 eV/atom
* raw formation energy: 0.31 eV/atom
* total magnetic moment: 3.29 μB per formula unit